{
  "formula": "Li2HoLu",
  "functional": "PBE-GGA",
  "state": "relaxed",
  "density_g_cm3": 6.0,
  "space_group": "P4/mmm (123)",
  "total_energy_ev_per_cell": -12.29,
  "magnetic_moment_mub_per_atom": 0.0001,
  "delta_e_f_ev_per_atom": 0.160,
  "de_polymorph_ev_per_atom": 0.000,
  "lattice": [[-0.322, -1.968, -3.071], [0.363, -3.085, 1.939], [-7.251, -0.267, 0.932]],
  "species": ["Li", "Li", "Lu", "Ho"],
  "frac_coords": [[0.000, 0.000, 0.753], [0.000, 0.000, 0.247], [0.500, 0.500, 0.000], [0.500, 0.500, 0.500]]
}